(1)
This record from Alexandria via LeMat-Bulk describes an optimized crystal structure of AlZnNiRu. The functional is GGA-PBE.

Its total magnetization is 0.0 μB/f.u. The calculation puts the formation energy at -1.7 eV/f.u.

The structure belongs to space group Pmmm (No. 47); the cell edges are 3.1036, 4.0445 and 4.1272 Å and the angles 90.00°, 90.00° and 90.00°. The inequivalent atoms are Al at (0.0000, 0.0000, 0.0000), Zn at (0.0000, 0.5000, 0.5000), Ni at (0.5000, 0.0000, 0.5000) and Ru at (0.5000, 0.5000, 0.0000).

---

(2)
This record from Alexandria via LeMat-Bulk describes an optimized crystal structure of AlNi3S. The functional is GGA-PBE.

Its total magnetization is 0.0 μB/f.u. The value obtained for the formation energy (no corrections) is 0.004 eV per formula unit.

The structure belongs to space group Pm-3m (No. 221); the cell edges are 4.1334, 4.1334 and 4.1334 Å and the angles 90.00°, 90.00° and 90.00°. The inequivalent atoms are Al at (0.0000, 0.0000, 0.0000), Ni at (0.0000, 0.5000, 0.5000) and S at (0.5000, 0.5000, 0.5000).

---

(3)
This record from Alexandria via LeMat-Bulk describes an optimized crystal structure of AlNiS. The functional is GGA-PBE.

Its total magnetization is 0.0 μB/f.u. The value obtained for the formation energy (no corrections) is -1.519 eV per formula unit.

The structure belongs to space group C2/m (No. 12); the cell edges are 17.4919, 3.8144 and 6.1357 Å and the angles 90.00°, 101.53° and 90.00°. The inequivalent atoms are Al at (0.1353, 0.0000, 0.3891), Al at (0.2408, 0.0000, 0.8263), Ni at (0.1476, 0.5000, 0.8594), Ni at (0.2216, 0.5000, 0.5625), S at (0.0887, 0.0000, 0.7108) and S at (0.0970, 0.5000, 0.1765).

---

(4)
This record from Alexandria via LeMat-Bulk describes an optimized crystal structure of AlNi2S. The functional is GGA-PBE.

Its total magnetization is 0.0 μB/f.u. The value obtained for the formation energy (no corrections) is -0.279 eV per formula unit.

The structure belongs to space group Fm-3m (No. 225); the cell edges are 5.8294, 5.8294 and 5.8294 Å and the angles 90.00°, 90.00° and 90.00°. The inequivalent atoms are Al at (0.0000, 0.0000, 0.0000), Ni at (0.2500, 0.2500, 0.2500) and S at (0.0000, 0.0000, 0.5000).

---

(5)
This record from Alexandria via LeMat-Bulk describes an optimized crystal structure of AlNiS6. The functional is GGA-PBE.

Its total magnetization is 0.0 μB/f.u. The value obtained for the formation energy (no corrections) is -2.291 eV per formula unit.

The structure belongs to space group P-1 (No. 2); the cell edges are 4.9680, 5.5635 and 6.6024 Å and the angles 109.03°, 96.75° and 95.92°. The inequivalent atoms are Al at (0.0000, 0.0000, 0.0000), Ni at (0.5000, 0.5000, 0.0000), S at (0.0915, 0.5593, 0.8855), S at (0.3519, 0.1072, 0.7657) and S at (0.3812, 0.1529, 0.2844).

---

(6)
This record from Alexandria via LeMat-Bulk describes an optimized crystal structure of AlNi3S. The functional is GGA-PBE.

Its total magnetization is 0.0 μB/f.u. The value obtained for the formation energy (no corrections) is 4.343 eV per formula unit.

The structure belongs to space group Pm-3m (No. 221); the cell edges are 4.2970, 4.2970 and 4.2970 Å and the angles 90.00°, 90.00° and 90.00°. The inequivalent atoms are Al at (0.0000, 0.0000, 0.0000), Ni at (0.0000, 0.0000, 0.5000) and S at (0.5000, 0.5000, 0.5000).

---

Fermi-level density of states across the listed records, respectively: 2.1, 3.3, 1.6, 1.5, 1.3, 6.2 states/eV/f.u..
E_tot across the listed records, respectively: -5.4419, -5.0420, -5.0569, -4.9279, -4.5724, -4.1743 eV per atom.